A relaxed Tl2Co crystal, computed with PBEsol.

Properties
Energy relative to the elements ... 483 meV per atom
Energy ... -23.1 eV/cell
Symmetry ... Cmcm, No. 63

abc: 7.762 7.762 4.951
angles: 90.00 90.00 155.58
Positions (direct):
1 Tl 0.062 0.938 0.750
2 Tl 0.343 0.657 0.750
3 Tl 0.657 0.343 0.250
4 Tl 0.938 0.062 0.250
5 Co 0.294 0.706 0.250
6 Co 0.706 0.294 0.750


A relaxed CoP2SF crystal, computed with PBEsol.

Properties
Formation energy (no corrections) ... 298.2 meV/atom
Energy ... -24.1 eV/cell
Symmetry ... P4/mmm, No. 123

abc: 4.245 4.245 4.335
angles: 90.00 90.00 90.00
Positions (direct):
1 Co 0.000 0.000 0.000
2 P 0.000 0.500 0.000
3 P 0.500 0.000 0.000
4 S 0.000 0.000 0.500
5 F 0.500 0.500 0.500


A relaxed CdGa2Ir2 crystal, computed with PBEsol.

Properties
Energy relative to the elements ... -285 meV per atom
Energy ... -57.9 eV/cell
Symmetry ... P4/mbm, No. 127

abc: 7.305 7.305 2.854
angles: 90.00 90.00 90.00
Positions (direct):
1 Cd 0.000 0.000 0.000
2 Cd 0.500 0.500 0.000
3 Ga 0.138 0.362 0.000
4 Ga 0.362 0.862 0.000
5 Ga 0.638 0.138 0.000
6 Ga 0.862 0.638 0.000
7 Ir 0.158 0.658 0.500
8 Ir 0.342 0.158 0.500
9 Ir 0.658 0.842 0.500
10 Ir 0.842 0.342 0.500


A relaxed Ba2YC2O6F3 crystal, computed with PBEsol.

Properties
Formation energy (no corrections) ... -2840.9 meV/atom
Energy ... -429.8 eV/cell
Symmetry ... Pbcn, No. 60

abc: 9.445 6.930 11.749
angles: 90.00 90.00 90.00
Positions (direct):
1 Ba 0.120 0.238 0.071
2 Ba 0.120 0.762 0.571
3 Ba 0.380 0.262 0.571
4 Ba 0.380 0.738 0.071
5 Ba 0.620 0.262 0.929
6 Ba 0.620 0.738 0.429
7 Ba 0.880 0.238 0.429
8 Ba 0.880 0.762 0.929
9 Y 0.000 0.228 0.750
10 Y 0.000 0.772 0.250
11 Y 0.500 0.272 0.250
12 Y 0.500 0.728 0.750
13 C 0.194 0.479 0.320
14 C 0.194 0.521 0.820
15 C 0.306 0.021 0.820
16 C 0.306 0.979 0.320
17 C 0.694 0.021 0.680
18 C 0.694 0.979 0.180
19 C 0.806 0.479 0.180
20 C 0.806 0.521 0.680
21 O 0.088 0.480 0.886
22 O 0.088 0.520 0.386
23 O 0.187 0.455 0.716
24 O 0.187 0.545 0.216
25 O 0.201 0.122 0.855
26 O 0.201 0.878 0.355
27 O 0.299 0.378 0.355
28 O 0.299 0.622 0.855
29 O 0.313 0.045 0.216
30 O 0.313 0.955 0.716
31 O 0.412 0.020 0.386
32 O 0.412 0.980 0.886
33 O 0.588 0.020 0.114
34 O 0.588 0.980 0.614
35 O 0.687 0.045 0.284
36 O 0.687 0.955 0.784
37 O 0.701 0.378 0.145
38 O 0.701 0.622 0.645
39 O 0.799 0.122 0.645
40 O 0.799 0.878 0.145
41 O 0.813 0.455 0.784
42 O 0.813 0.545 0.284
43 O 0.912 0.480 0.614
44 O 0.912 0.520 0.114
45 F 0.000 0.099 0.250
46 F 0.000 0.901 0.750
47 F 0.094 0.150 0.578
48 F 0.094 0.850 0.078
49 F 0.406 0.350 0.078
50 F 0.406 0.650 0.578
51 F 0.500 0.401 0.750
52 F 0.500 0.599 0.250
53 F 0.594 0.350 0.422
54 F 0.594 0.650 0.922
55 F 0.906 0.150 0.922
56 F 0.906 0.850 0.422


A relaxed CdCu4Sb crystal, computed with PBEsol.

Properties
Formation energy (no corrections) ... 47.6 meV/atom
Energy ... -22.8 eV/cell
Symmetry ... F-43m, No. 216

abc: 4.986 4.986 4.986
angles: 60.00 60.00 60.00
Positions (direct):
1 Cd 0.000 0.000 0.000
2 Cu 0.375 0.375 0.375
3 Cu 0.375 0.375 0.876
4 Cu 0.375 0.876 0.375
5 Cu 0.876 0.375 0.375
6 Sb 0.750 0.750 0.750


A relaxed Rb2TiTeAs crystal, computed with PBEsol.

Properties
Formation energy (no corrections) ... -17.9 meV/atom
Energy ... -19.1 eV/cell
Symmetry ... P4/mmm, No. 123

abc: 6.314 6.314 4.860
angles: 90.00 90.00 90.00
Positions (direct):
1 Rb 0.000 0.500 0.000
2 Rb 0.500 0.000 0.000
3 Ti 0.000 0.000 0.500
4 Te 0.500 0.500 0.500
5 As 0.000 0.000 0.000